(1)
KBa2Mg after structural relaxation. Source: Alexandria, functional PBE.

Unit cell a=4.360 b=4.360 c=13.713 alpha=80.85 beta=80.85 gamma=60.00
Positions (direct):
1 Ba 0.068 0.068 0.796
2 Ba 0.265 0.265 0.204
3 Mg 0.667 0.667 0.000
4 K 0.500 0.500 0.500

Results
The formation energy from the elements comes out at 0.107 eV/atom. As for the crystal system: trigonal.

(2)
KBaMg6 after structural relaxation. Source: Alexandria, functional PBE.

Unit cell a=7.400 b=7.400 c=5.412 alpha=90.00 beta=90.00 gamma=116.96
Positions (direct):
1 Mg 0.896 0.104 0.500
2 Mg 0.621 0.966 0.000
3 Mg 0.875 0.526 0.500
4 Mg 0.599 0.401 0.000
5 K 0.095 0.905 0.000
6 Ba 0.405 0.595 0.500
7 Mg 0.034 0.379 0.000
8 Mg 0.474 0.125 0.500

Results
The formation energy from the elements comes out at 0.107 eV/atom. As for the crystal system: orthorhombic.

(3)
KBa2NaMg after structural relaxation. Source: Alexandria, functional PBE.

Unit cell a=6.980 b=6.980 c=6.236 alpha=90.00 beta=90.00 gamma=90.00
Positions (direct):
1 Na 0.000 0.000 0.500
2 Mg 0.000 0.000 0.000
3 K 0.500 0.500 0.500
4 Ba 0.500 0.000 0.000
5 Ba 0.000 0.500 0.000

Results
The formation energy from the elements comes out at 0.182 eV/atom. As for the crystal system: tetragonal.

(4)
KBaNaMg2 after structural relaxation. Source: Alexandria, functional PBE.

Unit cell a=6.763 b=6.920 c=6.763 alpha=90.00 beta=90.00 gamma=90.00
Positions (direct):
1 Na 0.000 0.500 0.000
2 K 0.500 0.500 0.500
3 Mg 0.500 0.000 0.000
4 Mg 0.000 0.000 0.500
5 Ba 0.000 0.000 0.000

Results
The formation energy from the elements comes out at 0.570 eV/atom. As for the crystal system: tetragonal.

(5)
KBaMg2Ni after structural relaxation. Source: Alexandria, functional PBE.

Unit cell a=5.318 b=5.318 c=5.726 alpha=90.00 beta=90.00 gamma=90.00
Positions (direct):
1 Ni 0.000 0.000 0.000
2 Mg 0.000 0.500 0.000
3 Ba 0.000 0.000 0.500
4 Mg 0.500 0.000 0.000
5 K 0.500 0.500 0.500

Results
The formation energy from the elements comes out at 0.082 eV/atom. As for the crystal system: tetragonal.

(6)
KBa2MgNi after structural relaxation. Source: Alexandria, functional PBE.

Unit cell a=6.175 b=6.175 c=5.378 alpha=90.00 beta=90.00 gamma=90.00
Positions (direct):
1 Ni 0.000 0.000 0.000
2 Ba 0.500 0.000 0.000
3 K 0.500 0.500 0.500
4 Ba 0.000 0.500 0.000
5 Mg 0.000 0.000 0.500

Results
The formation energy from the elements comes out at 0.067 eV/atom. As for the crystal system: tetragonal.

(7)
KBaMgO2 after structural relaxation. Source: Alexandria, functional PBE.

Unit cell a=4.320 b=5.323 c=4.320 alpha=90.00 beta=90.00 gamma=90.00
Positions (direct):
1 O 0.500 0.000 0.000
2 Ba 0.000 0.500 0.000
3 K 0.500 0.500 0.500
4 O 0.000 0.000 0.500
5 Mg 0.000 0.000 0.000

Results
As for the crystal system: tetragonal. Its formation energy from raw total energies is -1.859 eV/f.u.

(8)
KBaMgPb after structural relaxation. Source: Alexandria, functional PBE.

Unit cell a=6.028 b=6.028 c=6.028 alpha=60.00 beta=60.00 gamma=60.00
Positions (direct):
1 Pb 0.500 0.500 0.500
2 Mg 0.000 0.000 0.000
3 Ba 0.250 0.250 0.250
4 K 0.750 0.750 0.750

Results
The formation energy from the elements comes out at -0.121 eV/atom. As for the crystal system: cubic.